[1]
First-principles (PBE-GGA) data for a relaxed structure of TaTlP3, as listed in the Alexandria database.

CIF file:
```
data_TaTlP3
_chemical_formula_sum 'Ta1 Tl1 P3'
_space_group_name_H-M_alt 'P m -3 m'
_space_group_IT_number 221
_space_group_name_Hall '-P 4 2 3'
_cell_length_a 4.885
_cell_length_b 4.885
_cell_length_c 4.885
_cell_angle_alpha 90.00
_cell_angle_beta 90.00
_cell_angle_gamma 90.00
loop_
_atom_site_label
_atom_site_type_symbol
_atom_site_fract_x
_atom_site_fract_y
_atom_site_fract_z
_atom_site_occupancy
Ta1 Ta 0.000 0.000 0.000 1
Tl1 Tl 0.500 0.500 0.500 1
P1 P 0.000 0.000 0.500 1
```

Results
DFT total energy in eV/atom: -5.8983
Energy above the most stable polymorph in this dataset in meV per atom: 0
E_form in eV/atom: 0.191


[2]
First-principles (PBE-GGA) data for a relaxed structure of CoMo2W, as listed in the Alexandria database.

CIF file:
```
data_CoMo2W
_chemical_formula_sum 'Co3 Mo6 W3'
_space_group_name_H-M_alt 'R -3 m'
_space_group_IT_number 166
_space_group_name_Hall '-R 3 2"'
_cell_length_a 2.7336
_cell_length_b 2.7336
_cell_length_c 27.7453
_cell_angle_alpha 90.00
_cell_angle_beta 90.00
_cell_angle_gamma 120.00
loop_
_atom_site_label
_atom_site_type_symbol
_atom_site_fract_x
_atom_site_fract_y
_atom_site_fract_z
_atom_site_occupancy
Co1 Co 0.0000 0.0000 0.0000 1
Mo1 Mo 0.0000 0.0000 0.2568 1
W1 W 0.0000 0.0000 0.5000 1
```

Results
DFT total energy in eV/atom: -10.0857
Energy above the most stable polymorph in this dataset in meV per atom: 270
E_form in eV/atom: 0.345


[3]
First-principles (PBE-GGA) data for a relaxed structure of Nd2HgIr, as listed in the Alexandria database.

CIF file:
```
data_Nd2HgIr
_chemical_formula_sum 'Nd2 Hg1 Ir1'
_space_group_name_H-M_alt 'P 4/m m m'
_space_group_IT_number 123
_space_group_name_Hall '-P 4 2'
_cell_length_a 3.624
_cell_length_b 3.624
_cell_length_c 7.727
_cell_angle_alpha 90.00
_cell_angle_beta 90.00
_cell_angle_gamma 90.00
loop_
_atom_site_label
_atom_site_type_symbol
_atom_site_fract_x
_atom_site_fract_y
_atom_site_fract_z
_atom_site_occupancy
Nd1 Nd 0.000 0.000 0.219 1
Hg1 Hg 0.500 0.500 0.500 1
Ir1 Ir 0.500 0.500 0.000 1
```

Results
DFT total energy in eV/atom: -5.2243
Energy above the most stable polymorph in this dataset in meV per atom: 0
E_form in eV/atom: -0.550


[4]
First-principles (PBE-GGA) data for a relaxed structure of Li5TmMg4, as listed in the Alexandria database.

CIF file:
```
data_Li5TmMg4
_chemical_formula_sum 'Li5 Tm1 Mg4'
_space_group_name_H-M_alt 'P 4/m m m'
_space_group_IT_number 123
_space_group_name_Hall '-P 4 2'
_cell_length_a 3.520
_cell_length_b 3.520
_cell_length_c 17.164
_cell_angle_alpha 90.00
_cell_angle_beta 90.00
_cell_angle_gamma 90.00
loop_
_atom_site_label
_atom_site_type_symbol
_atom_site_fract_x
_atom_site_fract_y
_atom_site_fract_z
_atom_site_occupancy
Li1 Li 0.000 0.000 0.000 1
Li2 Li 0.000 0.000 0.192 1
Li3 Li 0.000 0.000 0.381 1
Tm1 Tm 0.500 0.500 0.500 1
Mg1 Mg 0.500 0.500 0.097 1
Mg2 Mg 0.500 0.500 0.292 1
```

Results
DFT total energy in eV/atom: -2.0423
E_form in eV/atom: 0.000


[5]
First-principles (PBE-GGA) data for a relaxed structure of Pm2Er6Sc5, as listed in the Alexandria database.

CIF file:
```
data_Pm2Er6Sc5
_chemical_formula_sum 'Pm4 Er12 Sc10'
_space_group_name_H-M_alt 'P b a m'
_space_group_IT_number 55
_space_group_name_Hall '-P 2 2ab'
_cell_length_a 11.359
_cell_length_b 19.339
_cell_length_c 3.464
_cell_angle_alpha 90.00
_cell_angle_beta 90.00
_cell_angle_gamma 90.00
loop_
_atom_site_label
_atom_site_type_symbol
_atom_site_fract_x
_atom_site_fract_y
_atom_site_fract_z
_atom_site_occupancy
Pm1 Pm 0.154 0.217 0.000 1
Er1 Er 0.056 0.920 0.000 1
Er2 Er 0.088 0.634 0.000 1
Er3 Er 0.175 0.379 0.500 1
Sc1 Sc 0.000 0.500 0.500 1
Sc2 Sc 0.105 0.778 0.500 1
Sc3 Sc 0.199 0.049 0.500 1
```

Results
DFT total energy in eV/atom: -5.1524
E_form in eV/atom: 0.120


[6]
First-principles (PBE-GGA) data for a relaxed structure of Sn6Te3Se2S, as listed in the Alexandria database.

CIF file:
```
data_Sn6Te3Se2S
_chemical_formula_sum 'Sn12 Te6 Se4 S2'
_space_group_name_H-M_alt 'C 1 2/m 1'
_space_group_IT_number 12
_space_group_name_Hall '-C 2y'
_cell_length_a 7.583
_cell_length_b 13.142
_cell_length_c 7.572
_cell_angle_alpha 90.00
_cell_angle_beta 109.51
_cell_angle_gamma 90.00
loop_
_atom_site_label
_atom_site_type_symbol
_atom_site_fract_x
_atom_site_fract_y
_atom_site_fract_z
_atom_site_occupancy
Sn1 Sn 0.240 0.163 0.230 1
Sn2 Sn 0.250 0.000 0.769 1
Te1 Te 0.000 0.170 0.500 1
Te2 Te 0.000 0.500 0.500 1
Se1 Se 0.000 0.334 0.000 1
S1 S 0.000 0.000 0.000 1
```

Results
DFT total energy in eV/atom: -4.0542
Formation energy from raw total energies in kJ/mol of formula units: -397


[7]
First-principles (PBE-GGA) data for a relaxed structure of LaTl2BiPd, as listed in the Alexandria database.

CIF file:
```
data_LaTl2BiPd
_chemical_formula_sum 'La1 Tl2 Bi1 Pd1'
_space_group_name_H-M_alt 'P 4/m m m'
_space_group_IT_number 123
_space_group_name_Hall '-P 4 2'
_cell_length_a 5.277
_cell_length_b 5.277
_cell_length_c 5.554
_cell_angle_alpha 90.00
_cell_angle_beta 90.00
_cell_angle_gamma 90.00
loop_
_atom_site_label
_atom_site_type_symbol
_atom_site_fract_x
_atom_site_fract_y
_atom_site_fract_z
_atom_site_occupancy
La1 La 0.000 0.000 0.000 1
Tl1 Tl 0.000 0.500 0.500 1
Bi1 Bi 0.500 0.500 0.000 1
Pd1 Pd 0.000 0.000 0.500 1
```

Results
DFT total energy in eV/atom: -4.1253
E_form in eV/atom: -0.379


[8]
First-principles (PBE-GGA) data for a relaxed structure of LaPm3Ho6, as listed in the Alexandria database.

CIF file:
```
data_LaPm3Ho6
_chemical_formula_sum 'La3 Pm9 Ho18'
_space_group_name_H-M_alt 'R 3'
_space_group_IT_number 146
_space_group_name_Hall 'R 3'
_cell_length_a 9.9313
_cell_length_b 9.9313
_cell_length_c 11.6295
_cell_angle_alpha 90.00
_cell_angle_beta 90.00
_cell_angle_gamma 120.00
loop_
_atom_site_label
_atom_site_type_symbol
_atom_site_fract_x
_atom_site_fract_y
_atom_site_fract_z
_atom_site_occupancy
La1 La 0.0000 0.0000 0.0000 1
Pm1 Pm 0.0000 0.0000 0.2511 1
Pm2 Pm 0.0000 0.0000 0.4999 1
Pm3 Pm 0.0000 0.0000 0.7486 1
Ho1 Ho 0.0000 0.3291 0.0007 1
Ho2 Ho 0.0000 0.6745 0.5008 1
```

Results
DFT total energy in eV/atom: -4.3737
Energy above the most stable polymorph in this dataset in meV per atom: 164
E_form in eV/atom: 0.291